# PBE CaLaDy2Hg4, optimized geometry
# Uncorrected energy in Ry/atom: -0.19590
# Volume in A^3/atom: 27.12
data_CaLaDy2Hg4
_cell_length_a 5.3251
_cell_length_b 5.3251
_cell_length_c 26.5087
_cell_angle_alpha 90.00
_cell_angle_beta 90.00
_cell_angle_gamma 120.00
_space_group_name_H-M_alt 'R -3 m'
_space_group_IT_number 166
_space_group_name_Hall '-R 3 2"'
loop_
_atom_site_label
_atom_site_type_symbol
_atom_site_fract_x
_atom_site_fract_y
_atom_site_fract_z
Ca1 Ca 0.0000 0.0000 0.0000
La1 La 0.0000 0.0000 0.5000
Dy1 Dy 0.0000 0.0000 0.2531
Hg1 Hg 0.0000 0.0000 0.1217
Hg2 Hg 0.0000 0.0000 0.3743

# PBE SrLi2Ge2, optimized geometry
# Offset from the most stable computed form in eV/atom: 0.146
# Volume in A^3/atom: 20.07
data_SrLi2Ge2
_cell_length_a 8.107
_cell_length_b 8.107
_cell_length_c 3.054
_cell_angle_alpha 90.00
_cell_angle_beta 90.00
_cell_angle_gamma 90.00
_space_group_name_H-M_alt 'P 4/m b m'
_space_group_IT_number 127
_space_group_name_Hall '-P 4 2ab'
loop_
_atom_site_label
_atom_site_type_symbol
_atom_site_fract_x
_atom_site_fract_y
_atom_site_fract_z
Sr1 Sr 0.000 0.000 0.000
Li1 Li 0.117 0.383 0.000
Ge1 Ge 0.175 0.675 0.500

# PBE DyGe2Pd2, optimized geometry
# Uncorrected energy in Ry/atom: -0.41449
# Volume in A^3/atom: 18.54
data_DyGe2Pd2
_cell_length_a 6.035
_cell_length_b 6.053
_cell_length_c 10.151
_cell_angle_alpha 90.00
_cell_angle_beta 90.00
_cell_angle_gamma 90.00
_space_group_name_H-M_alt 'F m m m'
_space_group_IT_number 69
_space_group_name_Hall '-F 2 2'
loop_
_atom_site_label
_atom_site_type_symbol
_atom_site_fract_x
_atom_site_fract_y
_atom_site_fract_z
Dy1 Dy 0.000 0.000 0.000
Ge1 Ge 0.000 0.000 0.380
Pd1 Pd 0.250 0.250 0.250

# PBE Pm2ZnSi4Pd3, optimized geometry
# Uncorrected formation energy in kcal/mol of atoms: -18.631
# Volume in A^3/atom: 17.88
data_Pm2ZnSi4Pd3
_cell_length_a 4.210
_cell_length_b 4.210
_cell_length_c 10.089
_cell_angle_alpha 90.00
_cell_angle_beta 90.00
_cell_angle_gamma 90.00
_space_group_name_H-M_alt 'P -4 m 2'
_space_group_IT_number 115
loop_
_space_group_symop_operation_xyz
'x,y,z'
'y,-x,-z'
'-x,-y,z'
'-y,x,-z'
'-x,y,z'
'-y,-x,-z'
'x,-y,z'
'y,x,-z'
loop_
_atom_site_label
_atom_site_type_symbol
_atom_site_fract_x
_atom_site_fract_y
_atom_site_fract_z
Pm1 Pm 0.000 0.500 0.247
Zn1 Zn 0.000 0.000 0.500
Si1 Si 0.000 0.000 0.000
Si2 Si 0.000 0.500 0.638
Si3 Si 0.500 0.500 0.000
Pd1 Pd 0.000 0.500 0.879
Pd2 Pd 0.500 0.500 0.500

> Which of these has the highest volume?

CaLaDy2Hg4